Record 1
The following is a SCAN calculation of BaPr3Ni2O8 at its PBEsol-relaxed geometry, from Alexandria via LeMat-Bulk.

Output
ΔE_f (raw) (eV/atom): -2.76
Raw total energy (eV/atom): -20.7388
Symmetry: Amm2, No. 38

Cell and atoms, written as POSCAR:
```
BaPr3Ni2O8
1.0
5.380 0.000 0.000
0.000 2.686 6.262
0.000 -2.686 6.262
Ba Pr Ni O
1 3 2 8
Direct
0.000 0.000 0.000
0.000 0.278 0.278
0.500 0.510 0.510
0.500 0.783 0.783
0.000 0.643 0.643
0.500 0.141 0.141
0.000 0.469 0.469
0.000 0.799 0.799
0.259 0.408 0.894
0.259 0.894 0.408
0.500 0.321 0.321
0.500 0.971 0.971
0.741 0.408 0.894
0.741 0.894 0.408
```



Record 2
The following is a SCAN calculation of Sr4Y2Fe6O15 at its PBEsol-relaxed geometry, from Alexandria via LeMat-Bulk.

Output
ΔE_f (raw) (eV/atom): -2.44
Raw total energy (eV/atom): -15.2969
Symmetry: Fmmm, No. 69

Cell and atoms, written as POSCAR:
```
Sr4Y2Fe6O15
1.0
0.000 3.805 10.914
3.797 0.000 10.914
3.797 3.805 0.000
Sr Y Fe O
4 2 6 15
Direct
0.156 0.673 0.327
0.327 0.844 0.156
0.673 0.156 0.844
0.844 0.327 0.673
0.000 0.500 0.500
0.500 0.000 0.000
0.076 0.572 0.924
0.247 0.753 0.753
0.428 0.924 0.572
0.572 0.076 0.428
0.753 0.247 0.247
0.924 0.428 0.076
0.000 0.000 0.000
0.000 0.000 0.500
0.180 0.180 0.820
0.184 0.184 0.316
0.185 0.645 0.815
0.312 0.312 0.688
0.316 0.316 0.184
0.355 0.815 0.645
0.500 0.500 0.000
0.645 0.185 0.355
0.684 0.684 0.816
0.688 0.688 0.312
0.815 0.355 0.185
0.816 0.816 0.684
0.820 0.820 0.180
```



Record 3
The following is a SCAN calculation of MnPSeO2 at its PBEsol-relaxed geometry, from Alexandria via LeMat-Bulk.

Output
ΔE_f (raw) (eV/atom): -0.54
Raw total energy (eV/atom): -12.7788
Symmetry: P4/mmm, No. 123

Cell and atoms, written as POSCAR:
```
MnPSeO2
1.0
3.500 0.000 0.000
0.000 3.500 0.000
0.000 0.000 5.306
Mn P Se O
1 1 1 2
Direct
0.000 0.000 0.000
0.000 0.000 0.500
0.500 0.500 0.500
0.000 0.500 0.000
0.500 0.000 0.000
```



Record 4
The following is a SCAN calculation of La4Ag at its PBEsol-relaxed geometry, from Alexandria via LeMat-Bulk.

Output
Energy above the most stable polymorph in this dataset (meV per atom): 109
Raw total energy (eV/atom): -40.7739
Symmetry: R-3m, No. 166
Energy of formation (eV per atom): -0.017

Cell and atoms, written as POSCAR:
```
La4Ag
1.0
3.648 0.000 0.000
-1.824 3.159 0.000
0.000 0.000 40.718
La Ag
12 3
Direct
0.000 0.000 0.109
0.000 0.000 0.297
0.000 0.000 0.703
0.000 0.000 0.891
0.333 0.667 0.370
0.333 0.667 0.558
0.333 0.667 0.776
0.333 0.667 0.963
0.667 0.333 0.037
0.667 0.333 0.224
0.667 0.333 0.442
0.667 0.333 0.630
0.000 0.000 0.500
0.333 0.667 0.167
0.667 0.333 0.833
```



Record 5
The following is a SCAN calculation of Ta2PbW at its PBEsol-relaxed geometry, from Alexandria via LeMat-Bulk.

Output
Raw total energy (eV/atom): -69.2692
Symmetry: P4/mmm, No. 123
Energy of formation (eV per atom): 0.390

Cell and atoms, written as POSCAR:
```
Ta2PbW
1.0
4.189 0.000 0.000
0.000 4.189 0.000
0.000 0.000 4.107
Ta Pb W
2 1 1
Direct
0.000 0.500 0.000
0.500 0.000 0.000
0.000 0.000 0.500
0.500 0.500 0.500
```



Record 6
The following is a SCAN calculation of Mn2FeSi at its PBEsol-relaxed geometry, from Alexandria via LeMat-Bulk.

Output
ΔE_f (raw) (eV/atom): 0.06
Raw total energy (eV/atom): -16.1048
Symmetry: R-3m, No. 166

Cell and atoms, written as POSCAR:
```
Mn2FeSi
1.0
2.508 0.000 0.000
-1.254 2.172 0.000
0.000 0.000 23.226
Mn Fe Si
6 3 3
Direct
0.000 0.000 0.249
0.000 0.000 0.751
0.333 0.667 0.417
0.333 0.667 0.916
0.667 0.333 0.084
0.667 0.333 0.583
0.000 0.000 0.500
0.333 0.667 0.167
0.667 0.333 0.833
0.000 0.000 0.000
0.333 0.667 0.667
0.667 0.333 0.333
```